[1]
Below is a geometry-optimized LiHoTlGe structure, with properties calculated at the PBE level.

* volume: 22.33 A^3/atom
* ΔH_f (0 K): -32 kJ per mole of atoms
* total moment: 0.0 μB per formula unit

Lattice parameters (Å, degrees): 5.0172 5.0172 5.0172 60.00 60.00 60.00
Last column: nearest neighbours and their distance in Å.
Sites, in units of the cell vectors:
Li 0.0000 0.0000 0.0000  4 Ge 3.07, 4 Tl 3.07
Ho 0.5000 0.5000 0.5000  4 Ge 3.07, 4 Tl 3.07
Tl 0.2500 0.2500 0.2500  4 Ho 3.07, 4 Li 3.07
Ge 0.7500 0.7500 0.7500  4 Ho 3.07, 4 Li 3.07

=====

[2]
Below is a geometry-optimized Zr3Zn3Au structure, with properties calculated at the PBE level.

* volume: 18.81 A^3/atom
* ΔH_f (0 K): -29 kJ per mole of atoms
* total moment: 0.0 μB per formula unit

Lattice parameters (Å, degrees): 9.8680 9.8680 9.8680 161.35 154.61 31.69
Last column: nearest neighbours and their distance in Å.
Sites, in units of the cell vectors:
Zr 0.0000 0.0000 0.0000  7 Zn 2.90-2.95, 6 Zr 3.20-3.24
Zr 0.4052 0.4052 0.0000  5 Zn 2.91-2.95, 2 Au 3.04, 6 Zr 3.20-3.24
Zr 0.6986 0.1986 0.5000  8 Zn 2.99-3.25, 4 Au 3.01, 2 Zr 3.20
Zn 0.1308 0.6308 0.5000  2 Zn 2.55, 1 Au 2.62
Zn 0.5604 0.5604 0.0000  2 Zn 2.55
Zn 0.8474 0.8474 0.0000  2 Au 2.63, 5 Zr 2.90-2.91
Au 0.2688 0.7688 0.5000  3 Zn 2.62-2.63